1.
A relaxed structure of Tb3TaSe6, computed with PBE.

Calculated values
**Total moment**: 3.25 μB/cell
**E_form (uncorrected)**: -1.381 eV/atom
**Density of states at the Fermi level**: 0.460 states/eV/atom

abc: 8.965 8.965 6.815
angles: 90.00 90.00 102.14
Element x y z (fractional)
Tb: 0.093 0.907 0.500
Tb: 0.228 0.417 0.595
Tb: 0.417 0.228 0.095
Tb: 0.583 0.772 0.595
Tb: 0.772 0.583 0.095
Tb: 0.907 0.093 0.000
Ta: 0.304 0.696 0.147
Ta: 0.696 0.304 0.647
Se: 0.062 0.598 0.323
Se: 0.130 0.198 0.296
Se: 0.198 0.130 0.796
Se: 0.278 0.722 0.785
Se: 0.402 0.938 0.323
Se: 0.470 0.530 0.293
Se: 0.530 0.470 0.793
Se: 0.598 0.062 0.823
Se: 0.722 0.278 0.285
Se: 0.802 0.870 0.296
Se: 0.870 0.802 0.796
Se: 0.938 0.402 0.823

2.
A relaxed structure of Tb6TaSe12, computed with PBE.

Calculated values
**Total moment**: 0.00 μB/cell
**E_form (uncorrected)**: -1.532 eV/atom
**Density of states at the Fermi level**: 0.627 states/eV/atom

abc: 8.132 8.132 8.132
angles: 98.68 98.68 98.68
Element x y z (fractional)
Tb: 0.138 0.636 0.806
Tb: 0.194 0.862 0.364
Tb: 0.364 0.194 0.862
Tb: 0.636 0.806 0.138
Tb: 0.806 0.138 0.636
Tb: 0.862 0.364 0.194
Ta: 0.500 0.500 0.500
Se: 0.069 0.320 0.922
Se: 0.078 0.931 0.680
Se: 0.183 0.520 0.434
Se: 0.320 0.922 0.069
Se: 0.434 0.183 0.520
Se: 0.480 0.566 0.817
Se: 0.520 0.434 0.183
Se: 0.566 0.817 0.480
Se: 0.680 0.078 0.931
Se: 0.817 0.480 0.566
Se: 0.922 0.069 0.320
Se: 0.931 0.680 0.078

3.
A relaxed structure of TbTa4Se8, computed with PBE.

Calculated values
**Total moment**: 0.00 μB/cell
**E_form (uncorrected)**: -0.868 eV/atom
**Density of states at the Fermi level**: 0.414 states/eV/atom

abc: 8.073 8.073 8.073
angles: 52.17 52.17 52.17
Element x y z (fractional)
Tb: 0.000 0.000 0.000
Ta: 0.000 0.000 0.500
Ta: 0.000 0.500 0.000
Ta: 0.500 0.000 0.000
Ta: 0.500 0.500 0.500
Se: 0.245 0.245 0.245
Se: 0.257 0.741 0.741
Se: 0.259 0.259 0.743
Se: 0.259 0.743 0.259
Se: 0.741 0.257 0.741
Se: 0.741 0.741 0.257
Se: 0.743 0.259 0.259
Se: 0.755 0.755 0.755

4.
A relaxed structure of TaTcSe3, computed with PBE.

Calculated values
**E above lowest polymorph**: 0.00 kJ per mole of atoms
**Total moment**: 4.80 μB/cell
**E_form (uncorrected)**: 0.582 eV/atom
**Density of states at the Fermi level**: 0.743 states/eV/atom

abc: 5.026 5.026 5.026
angles: 90.00 90.00 90.00
Element x y z (fractional)
Ta: 0.000 0.000 0.000
Tc: 0.500 0.500 0.500
Se: 0.000 0.000 0.500
Se: 0.000 0.500 0.000
Se: 0.500 0.000 0.000

5.
A relaxed structure of TaTcSe2, computed with PBE.

Calculated values
**E above lowest polymorph**: 23.28 kJ per mole of atoms
**Total moment**: 0.00 μB/cell
**E_form (uncorrected)**: -0.172 eV/atom
**Density of states at the Fermi level**: 0.739 states/eV/atom

abc: 3.450 3.450 7.238
angles: 90.00 90.00 90.00
Element x y z (fractional)
Ta: 0.000 0.000 0.000
Tc: 0.500 0.500 0.165
Se: 0.000 0.000 0.354
Se: 0.500 0.500 0.812

6.
A relaxed structure of TaTcSe2, computed with PBE.

Calculated values
**E above lowest polymorph**: 48.91 kJ per mole of atoms
**Total moment**: 0.01 μB/cell
**E_form (uncorrected)**: 0.094 eV/atom
**Density of states at the Fermi level**: 1.344 states/eV/atom

abc: 3.121 3.121 23.838
angles: 90.00 90.00 120.00
Element x y z (fractional)
Ta: 0.000 0.000 0.000
Ta: 0.333 0.667 0.667
Ta: 0.667 0.333 0.333
Tc: 0.000 0.000 0.500
Tc: 0.333 0.667 0.167
Tc: 0.667 0.333 0.833
Se: 0.000 0.000 0.248
Se: 0.000 0.000 0.752
Se: 0.333 0.667 0.419
Se: 0.333 0.667 0.914
Se: 0.667 0.333 0.086
Se: 0.667 0.333 0.581